CuP2O2 | PBE | relaxed

Properties
**V**: 12.76 Å³/atom
**Distance to the lowest polymorph of the same formula**: 0.982 eV per atom
**Final energy**: -22.624 eV per cell

Lattice parameters (Å, degrees): 3.6630 3.6630 4.7566 90.00 90.00 90.00
Space group P4/mmm (No. 123)
Unique sites:
1 Cu 0.0000 0.0000 0.0000
2 P 0.0000 0.0000 0.5000
3 P 0.5000 0.5000 0.5000
4 O 0.0000 0.5000 0.0000